DFT (PBE) results for a geometry-optimized TlCdP2 structure.

a b c (Å): 3.820 3.820 7.036
angles (deg): 90.00 90.00 120.00
Fractional positions:
Tl1 0.000 0.000 0.000
Cd1 0.000 0.000 0.500
P1 0.333 0.667 0.266
P2 0.667 0.333 0.734

Output
The density of states at the Fermi level comes out at 3.39 states/eV/cell. As for the energy relative to the lowest polymorph listed for this composition: 0.2709 eV per atom. The value obtained for the formation energy is 0.412 eV/atom.

***

DFT (PBE) results for a geometry-optimized TlCdP2 structure.

a b c (Å): 4.932 4.932 4.932
angles (deg): 120.63 120.63 88.91
Fractional positions:
Tl1 0.000 0.000 0.000
Cd1 0.250 0.750 0.500
P1 0.500 0.500 0.000
P2 0.750 0.250 0.500

Output
The density of states at the Fermi level comes out at 1.46 states/eV/cell. As for the energy relative to the lowest polymorph listed for this composition: 0.4603 eV per atom. The value obtained for the formation energy is 0.601 eV/atom.

***

DFT (PBE) results for a geometry-optimized TlCdP2 structure.

a b c (Å): 4.565 3.876 5.924
angles (deg): 90.00 106.38 90.00
Fractional positions:
Tl1 0.000 0.000 0.000
Cd1 0.500 0.000 0.500
P1 0.191 0.500 0.653
P2 0.809 0.500 0.347

Output
The density of states at the Fermi level comes out at 1.89 states/eV/cell. As for the energy relative to the lowest polymorph listed for this composition: 0.0110 eV per atom. The value obtained for the formation energy is 0.152 eV/atom.

***

DFT (PBE) results for a geometry-optimized TlCdP2 structure.

a b c (Å): 9.930 9.930 9.930
angles (deg): 18.68 18.68 18.68
Fractional positions:
Tl1 0.000 0.000 0.000
Cd1 0.500 0.500 0.500
P1 0.238 0.238 0.238
P2 0.762 0.762 0.762

Output
The density of states at the Fermi level comes out at 0.85 states/eV/cell. As for the energy relative to the lowest polymorph listed for this composition: 0.3738 eV per atom. The value obtained for the formation energy is 0.515 eV/atom.

***

Please write out number 3 again, unchanged.
DFT (PBE) results for a geometry-optimized TlCdP2 structure.

a b c (Å): 4.565 3.876 5.924
angles (deg): 90.00 106.38 90.00
Fractional positions:
Tl1 0.000 0.000 0.000
Cd1 0.500 0.000 0.500
P1 0.191 0.500 0.653
P2 0.809 0.500 0.347

Output
The density of states at the Fermi level comes out at 1.89 states/eV/cell. As for the energy relative to the lowest polymorph listed for this composition: 0.0110 eV per atom. The value obtained for the formation energy is 0.152 eV/atom.

***

Among the records above, which one has the highest energy relative to the lowest polymorph listed for this composition?
number 2

***

Repeat the second record exactly.
DFT (PBE) results for a geometry-optimized TlCdP2 structure.

a b c (Å): 4.932 4.932 4.932
angles (deg): 120.63 120.63 88.91
Fractional positions:
Tl1 0.000 0.000 0.000
Cd1 0.250 0.750 0.500
P1 0.500 0.500 0.000
P2 0.750 0.250 0.500

Output
The density of states at the Fermi level comes out at 1.46 states/eV/cell. As for the energy relative to the lowest polymorph listed for this composition: 0.4603 eV per atom. The value obtained for the formation energy is 0.601 eV/atom.